(1)
This record from the Alexandria database describes a geometry-optimized Zr4Au structure. The functional is PBE.

The structure belongs to space group Im-3m (No. 229); the cell edges are 6.405, 6.405 and 6.405 Å and the angles 90.00°, 90.00° and 90.00°. The asymmetric unit holds Zr at (0.250, 0.250, 0.250) and Au at (0.000, 0.000, 0.000).

The formation enthalpy at 0 K comes out at 0.537 eV/atom. As for the total energy: -6.96 eV/atom. The total moment comes out at 0.00 Bohr magnetons per cell.

***

(2)
This record from the Alexandria database describes a geometry-optimized Sc4InOs3 structure. The functional is PBE.

The structure belongs to space group P4/mmm (No. 123); the cell edges are 4.610, 4.610 and 6.704 Å and the angles 90.00°, 90.00° and 90.00°. The asymmetric unit holds Sc at (0.000, 0.500, 0.231), In at (0.000, 0.000, 0.500), Os at (0.000, 0.000, 0.000), Os at (0.500, 0.500, 0.000) and Os at (0.500, 0.500, 0.500).

The formation enthalpy at 0 K comes out at -0.394 eV/atom. As for the total energy: -8.11 eV/atom. The total moment comes out at 0.00 Bohr magnetons per cell.

***

(3)
This record from the Alexandria database describes a geometry-optimized Tm4AlPd3 structure. The functional is PBE.

The structure belongs to space group Pmm2 (No. 25); the cell edges are 3.723, 4.444 and 10.726 Å and the angles 90.00°, 90.00° and 90.00°. The asymmetric unit holds Tm at (0.000, 0.000, 0.000), Tm at (0.000, 0.500, 0.271), Tm at (0.500, 0.000, 0.484), Tm at (0.500, 0.500, 0.781), Al at (0.000, 0.000, 0.707), Pd at (0.000, 0.500, 0.558), Pd at (0.500, 0.000, 0.220) and Pd at (0.500, 0.500, 0.050).

The formation enthalpy at 0 K comes out at -0.806 eV/atom. As for the total energy: -5.46 eV/atom. The total moment comes out at 0.00 Bohr magnetons per cell.

***

(4)
This record from the Alexandria database describes a geometry-optimized PmSm3O6 structure. The functional is PBE.

The structure belongs to space group R-3 (No. 148, hexagonal axes); the cell edges are 9.9570, 9.9570 and 11.7211 Å and the angles 90.00°, 90.00° and 120.00°. The asymmetric unit holds Pm at (0.0000, 0.0000, 0.0000), Pm at (0.0000, 0.0000, 0.5000), Sm at (0.0376, 0.7726, 0.2109), O at (0.0267, 0.8059, 0.4038) and O at (0.0282, 0.8407, 0.8681).

The calculation puts the formation energy from raw total energies at -3.41 eV per atom. As for the total energy: -8.27 eV/atom. The total moment comes out at 0.00 Bohr magnetons per cell.

***

(5)
This record from the Alexandria database describes a geometry-optimized BeTe2Cl structure. The functional is PBE.

The structure belongs to space group Imm2 (No. 44); the cell edges are 3.104, 6.277 and 14.531 Å and the angles 90.00°, 90.00° and 90.00°. The asymmetric unit holds Be at (0.000, 0.000, 0.000), Te at (0.000, 0.000, 0.384), Te at (0.000, 0.500, 0.354) and Cl at (0.000, 0.500, 0.591).

The calculation puts the formation energy from raw total energies at -0.27 eV per atom. As for the total energy: -3.23 eV/atom. The total moment comes out at 0.00 Bohr magnetons per cell.

***

(6)
This record from the Alexandria database describes a geometry-optimized BeOs structure. The functional is PBE.

The structure belongs to space group P2_13 (No. 198); the cell edges are 4.506, 4.506 and 4.506 Å and the angles 90.00°, 90.00° and 90.00°. The asymmetric unit holds Be at (0.101, 0.399, 0.601) and Os at (0.110, 0.890, 0.390).

The formation enthalpy at 0 K comes out at -0.002 eV/atom. As for the total energy: -7.48 eV/atom. The total moment comes out at 0.00 Bohr magnetons per cell.

***

What is the total moment in the first record? 0.00 Bohr magnetons per cell